! Pu2TeC | the Alexandria database | GGA-PBE | relaxed; values from VASP
! **Energy relative to the elements, uncorrected**: -457 meV per atom
&SYSTEM
  ibrav = 0, nat = 12, ntyp = 3
/
ATOMIC_SPECIES
Pu 244.00 Pu.upf
Te 127.60 Te.upf
C 12.01 C.upf
CELL_PARAMETERS angstrom
3.844 0.000 0.000
-1.922 3.329 0.000
0.000 0.000 20.879
ATOMIC_POSITIONS crystal
Pu 0.000 0.000 0.227
Pu 0.000 0.000 0.773
Pu 0.333 0.667 0.439
Pu 0.333 0.667 0.894
Pu 0.667 0.333 0.106
Pu 0.667 0.333 0.561
Te 0.000 0.000 0.000
Te 0.333 0.667 0.667
Te 0.667 0.333 0.333
C 0.000 0.000 0.500
C 0.333 0.667 0.167
C 0.667 0.333 0.833

***

! Pu3TeC | the Alexandria database | GGA-PBE | relaxed; values from VASP
! **Energy relative to the elements, uncorrected**: -303 meV per atom
&SYSTEM
  ibrav = 0, nat = 5, ntyp = 3
/
ATOMIC_SPECIES
Pu 244.00 Pu.upf
Te 127.60 Te.upf
C 12.01 C.upf
CELL_PARAMETERS angstrom
4.900 0.000 0.000
0.000 4.900 0.000
0.000 0.000 4.900
ATOMIC_POSITIONS crystal
Pu 0.000 0.000 0.500
Pu 0.000 0.500 0.000
Pu 0.500 0.000 0.000
Te 0.500 0.500 0.500
C 0.000 0.000 0.000

***

! PuThC2 | the Alexandria database | GGA-PBE | relaxed; values from VASP
! **Calculated formation energy**: 0.16 eV per atom
! **Distance to the lowest polymorph of the same formula**: 0.201 eV per atom
&SYSTEM
  ibrav = 0, nat = 4, ntyp = 3
/
ATOMIC_SPECIES
Pu 244.00 Pu.upf
Th 232.04 Th.upf
C 12.01 C.upf
CELL_PARAMETERS angstrom
3.587 0.000 0.000
-1.793 3.106 0.000
0.000 0.000 6.093
ATOMIC_POSITIONS crystal
Pu 0.000 0.000 0.000
Th 0.000 0.000 0.500
C 0.333 0.667 0.232
C 0.667 0.333 0.768